1.
VASP calculation (PBE) on an optimized crystal structure of La4Tb2Th.

abc: 3.6080 3.6080 65.4714
angles: 90.00 90.00 120.00
Closest atoms and distances in Å follow each position.
Space group R-3m (No. 166, hexagonal axes)
Asymmetric unit:
La 0.0000 0.0000 0.1409 x6  3 Tb 3.55, 9 La 3.61-3.96
La 0.0000 0.0000 0.2892 x6  1 Tb 3.46, 3 Th 3.56, 6 La 3.61
Tb 0.0000 0.0000 0.2364 x6  4 La 3.46-3.55, 6 Tb 3.61
Th 0.0000 0.0000 0.0000 x3  6 La 3.56, 6 Th 3.61

Results
The calculation puts the polymorph energy (0 for the lowest one) at 0 meV/atom.

***

2.
VASP calculation (PBE) on an optimized crystal structure of La8Tb5Th.

abc: 13.1595 11.4068 9.2570
angles: 90.00 134.26 90.00
Closest atoms and distances in Å follow each position.
Space group C2 (No. 5)
Asymmetric unit:
La 0.0554 0.0000 0.2853 x4  1 La 3.19, 1 Th 3.20, 3 Tb 3.47-3.56
La 0.0587 0.4363 0.2779 x4  5 Tb 3.28-3.54, 1 Th 3.38, 2 La 3.57-3.66
La 0.1561 0.7108 0.0482 x4  4 Tb 3.41-3.78, 3 La 3.54-3.80
La 0.1996 0.9007 0.7762 x4  2 La 3.19-3.57, 1 Tb 3.43
Tb 0.0000 0.2311 0.5000 x2  6 La 3.41-3.67
Tb 0.1812 0.7173 0.4652 x4  1 Tb 3.40, 7 La 3.43-3.64, 1 Th 3.62
Tb 0.1946 0.5210 0.7541 x4  3 La 3.28-3.56, 1 Tb 3.40, 1 Th 3.60
Th 0.0000 0.2045 0.0000 x2  4 La 3.20-3.38

***

3.
VASP calculation (PBE) on an optimized crystal structure of LaTb12Th3.

abc: 5.0526 5.0526 20.2107
angles: 90.00 90.00 90.00
Closest atoms and distances in Å follow each position.
Space group P4/mmm (No. 123)
Asymmetric unit:
La 0.0000 0.0000 0.0000 x1  12 Tb 3.57-3.64
Tb 0.0000 0.5000 0.1293 x4  2 Th 3.53, 8 Tb 3.54-3.64, 2 La 3.64
Tb 0.0000 0.5000 0.3763 x4  8 Tb 3.55-3.57, 4 Th 3.55-3.57
Tb 0.5000 0.5000 0.0000 x1  4 La 3.57, 8 Tb 3.64
Tb 0.5000 0.5000 0.2520 x2  8 Tb 3.54-3.56, 4 Th 3.57
Tb 0.5000 0.5000 0.5000 x1  8 Tb 3.55, 4 Th 3.57
Th 0.0000 0.0000 0.2516 x2  12 Tb 3.53-3.57
Th 0.0000 0.0000 0.5000 x1  12 Tb 3.55-3.57

***

Record-wise E_form values, in eV/atom: 0.0816; 0.1715; 0.0341
Record-wise E_tot values, in eV per atom: -5.12; -4.83; -5.14